# 1
CaErGaGe, relaxed, DFT PBE; magnetic moment = 0.0 μB per formula unit; energy above the most stable polymorph in this dataset = 0.00 eV/f.u.; electronic total energy = -4.2033 eV/atom
1.0
-3.419 -2.527 1.009
0.732 -2.289 -3.250
4.944 -1.925 2.469
Ca Er Ga Ge
1 1 1 1
direct
0.141 0.000 0.282
0.863 0.500 0.727
0.576 0.500 0.151
0.420 0.000 0.840

# 2
CaErGaGe, relaxed, DFT PBE; magnetic moment = 0.0 μB per formula unit; energy above the most stable polymorph in this dataset = 0.60 eV/f.u.; electronic total energy = -4.0537 eV/atom
1.0
-4.989 -0.005 -0.953
-1.752 -1.950 -4.350
-2.588 -4.370 0.037
Ge Ca Ga Er
1 1 1 1
direct
0.250 0.250 0.250
0.500 0.500 0.500
0.750 0.750 0.750
0.000 0.000 0.000

# 3
CaErGaIr, relaxed, DFT PBE; magnetic moment = 0.0 μB per formula unit; electronic total energy = -5.1174 eV/atom
1.0
-0.899 3.774 3.030
-4.486 2.022 0.150
-2.860 -0.645 3.954
Ca Ir Ga Er
1 1 1 1
direct
0.500 0.500 0.500
0.750 0.750 0.750
0.250 0.250 0.250
0.000 0.000 0.000